# 1
The following is a DFT calculation (GGA-PBE) of a relaxed structure of Mg4In2Ag.

Values from the calculation:
For the final energy, the calculation gives -30.01 eV/cell. As for the space-group type: P2_1/m. The calculation puts the mass density at 4.5 Mg/m³. For the formation energy, the calculation gives -0.04 eV per atom. The value obtained for the energy above the most stable polymorph in this dataset is 24 meV per atom.

Cell: 7.208 6.252 7.863 Å, 90.00 115.29 90.00°
Sites, in units of the cell vectors:
Mg 0.054 0.250 0.027
Mg 0.155 0.501 0.726
Mg 0.155 0.999 0.726
Mg 0.258 0.750 0.398
Mg 0.742 0.250 0.602
Mg 0.845 0.001 0.274
Mg 0.845 0.499 0.274
Mg 0.946 0.750 0.973
In 0.264 0.250 0.451
In 0.415 0.750 0.099
In 0.585 0.250 0.901
In 0.736 0.750 0.549
Ag 0.484 0.250 0.217
Ag 0.516 0.750 0.783

=====

# 2
The following is a DFT calculation (GGA-PBE) of a relaxed structure of Mg4InAg.

Values from the calculation:
For the final energy, the calculation gives -12.07 eV/cell. As for the space-group type: P2/m. The calculation puts the mass density at 3.6 Mg/m³. For the formation energy, the calculation gives -0.02 eV per atom. The value obtained for the energy above the most stable polymorph in this dataset is 0 meV per atom.

Cell: 4.522 4.755 6.956 Å, 90.00 90.11 90.00°
Sites, in units of the cell vectors:
Mg 0.001 0.000 0.240
Mg 0.499 0.500 0.225
Mg 0.501 0.500 0.775
Mg 0.999 0.000 0.760
In 0.000 0.500 0.500
Ag 0.500 0.000 0.000

=====

# 3
The following is a DFT calculation (GGA-PBE) of a relaxed structure of MgInAg6.

Values from the calculation:
For the final energy, the calculation gives -22.16 eV/cell. As for the space-group type: Cmmm. The calculation puts the mass density at 8.8 Mg/m³. For the formation energy, the calculation gives -0.09 eV per atom. The value obtained for the energy above the most stable polymorph in this dataset is 0 meV per atom.

Cell: 5.801 5.801 4.388 Å, 90.00 90.00 90.07°
Sites, in units of the cell vectors:
Mg 0.000 0.000 0.000
In 0.500 0.500 0.000
Ag 0.000 0.500 0.000
Ag 0.247 0.247 0.500
Ag 0.247 0.753 0.500
Ag 0.500 0.000 0.000
Ag 0.753 0.247 0.500
Ag 0.753 0.753 0.500

=====

# 4
The following is a DFT calculation (GGA-PBE) of a relaxed structure of MgInAg3.

Values from the calculation:
For the final energy, the calculation gives -53.23 eV/cell. As for the space-group type: P2_1/c. The calculation puts the mass density at 7.9 Mg/m³. For the formation energy, the calculation gives -0.08 eV per atom. The value obtained for the energy above the most stable polymorph in this dataset is 0 meV per atom.

Cell: 7.592 5.543 9.578 Å, 90.00 104.30 90.00°
Sites, in units of the cell vectors:
Mg 0.161 0.167 0.194
Mg 0.161 0.333 0.694
Mg 0.839 0.667 0.306
Mg 0.839 0.833 0.806
In 0.262 0.606 0.403
In 0.262 0.894 0.903
In 0.738 0.106 0.097
In 0.738 0.394 0.597
Ag 0.058 0.689 0.101
Ag 0.058 0.811 0.601
Ag 0.334 0.111 0.498
Ag 0.334 0.389 0.998
Ag 0.454 0.691 0.702
Ag 0.454 0.809 0.202
Ag 0.546 0.191 0.798
Ag 0.546 0.309 0.298
Ag 0.666 0.611 0.002
Ag 0.666 0.889 0.502
Ag 0.942 0.189 0.399
Ag 0.942 0.311 0.899